1.
The following is a PBE-GGA calculation of a geometry-optimized PmGdLuZr structure, from Alexandria.

As for the electronic total energy: -7.73 eV per atom. As for the formation energy: 0.242 eV per atom. As for the crystal system: cubic. The space-group type is No. 216.

```
PmGdLuZr
1.0
5.4980 0.0000 0.0000
2.7490 4.7614 0.0000
2.7490 1.5871 4.4891
Lu Gd Zr Pm
1 1 1 1
direct
0.5000 0.5000 0.5000 Lu
0.7500 0.7500 0.7500 Gd
0.2500 0.2500 0.2500 Zr
0.0000 0.0000 0.0000 Pm
```


2.
The following is a PBE-GGA calculation of a geometry-optimized CaSi structure, from Alexandria.

As for the electronic total energy: -2.99 eV per atom. The energy relative to the elements, uncorrected is 0.7223 eV/atom. As for the crystal system: cubic. The space-group type is No. 223.

```
CaSi
1.0
8.3783 0.0000 0.0000
0.0000 8.3783 0.0000
0.0000 0.0000 8.3783
Ca Si
6 6
direct
0.7500 0.5000 0.0000 Ca
0.0000 0.2500 0.5000 Ca
0.2500 0.5000 0.0000 Ca
0.5000 0.0000 0.7500 Ca
0.5000 0.0000 0.2500 Ca
0.0000 0.7500 0.5000 Ca
0.2500 0.0000 0.5000 Si
0.5000 0.2500 0.0000 Si
0.5000 0.7500 0.0000 Si
0.0000 0.5000 0.7500 Si
0.0000 0.5000 0.2500 Si
0.7500 0.0000 0.5000 Si
```


3.
The following is a PBE-GGA calculation of a geometry-optimized GeBi2SbH structure, from Alexandria.

As for the electronic total energy: -3.70 eV per atom. As for the crystal system: tetragonal. The space-group type is No. 123.

```
GeBi2SbH
1.0
5.8931 0.0000 0.0000
0.0000 5.8931 0.0000
0.0000 0.0000 3.5153
Bi Ge H Sb
2 1 1 1
direct
0.5000 0.0000 0.0000 Bi
0.0000 0.5000 0.0000 Bi
0.0000 0.0000 0.0000 Ge
0.0000 0.0000 0.5000 H
0.5000 0.5000 0.5000 Sb
```